1.
This record from Alexandria describes crystalline Hf2BiPt2 at its relaxed geometry. The functional is GGA-PBE.

The value obtained for the formation energy is -0.6628 eV per atom. As for the offset from the most stable computed form: 0.133 eV/atom. The calculation puts the total moment at 0.0 μB per formula unit. Its space-group type is P4/mbm, No. 127.

Unit cell a=7.961 b=7.961 c=3.285 alpha=90.00 beta=90.00 gamma=90.00
Sites, in units of the cell vectors:
Hf (0.155, 0.345, 0.000)
Hf (0.345, 0.845, 0.000)
Hf (0.655, 0.155, 0.000)
Hf (0.845, 0.655, 0.000)
Bi (0.000, 0.000, 0.000)
Bi (0.500, 0.500, 0.000)
Pt (0.131, 0.631, 0.500)
Pt (0.369, 0.131, 0.500)
Pt (0.631, 0.869, 0.500)
Pt (0.869, 0.369, 0.500)



2.
This record from Alexandria describes crystalline PmInCl4 at its relaxed geometry. The functional is GGA-PBE.

The value obtained for the raw formation energy is -1.7908 eV/atom. As for the offset from the most stable computed form: 0.000 eV/atom. The calculation puts the total moment at 0.0 μB per formula unit. Its space-group type is C2/c, No. 15.

Unit cell a=8.957 b=8.957 c=6.896 alpha=108.32 beta=108.32 gamma=114.51
Sites, in units of the cell vectors:
Pm (0.086, 0.914, 0.750)
Pm (0.914, 0.086, 0.250)
In (0.345, 0.655, 0.250)
In (0.655, 0.345, 0.750)
Cl (0.054, 0.632, 0.829)
Cl (0.172, 0.245, 0.719)
Cl (0.245, 0.172, 0.219)
Cl (0.368, 0.946, 0.671)
Cl (0.632, 0.054, 0.329)
Cl (0.755, 0.828, 0.781)
Cl (0.828, 0.755, 0.281)
Cl (0.946, 0.368, 0.171)



3.
This record from Alexandria describes crystalline Pu2Pa2Sb2C at its relaxed geometry. The functional is GGA-PBE.

The value obtained for the raw formation energy is -0.4665 eV/atom. The calculation puts the total moment at 11.9 μB per formula unit. Its space-group type is I4/mmm, No. 139.

Unit cell a=8.828 b=8.828 c=8.828 alpha=149.23 beta=149.23 gamma=44.08
Sites, in units of the cell vectors:
Pu (0.161, 0.161, 0.000)
Pu (0.839, 0.839, 0.000)
Pa (0.000, 0.500, 0.500)
Pa (0.500, 0.000, 0.500)
Sb (0.358, 0.358, 0.000)
Sb (0.642, 0.642, 0.000)
C (0.000, 0.000, 0.000)



4.
This record from Alexandria describes crystalline TlW at its relaxed geometry. The functional is GGA-PBE.

The value obtained for the formation energy is 0.6551 eV per atom. As for the offset from the most stable computed form: 0.031 eV/atom. The calculation puts the total moment at 0.0 μB per formula unit. Its space-group type is P2_1/m, No. 11.

Unit cell a=3.104 b=3.185 c=9.028 alpha=90.00 beta=98.89 gamma=90.00
Sites, in units of the cell vectors:
Tl (0.074, 0.250, 0.164)
Tl (0.926, 0.750, 0.836)
W (0.346, 0.250, 0.584)
W (0.654, 0.750, 0.416)



5.
This record from Alexandria describes crystalline K2RbCeBr6 at its relaxed geometry. The functional is GGA-PBE.

The value obtained for the raw formation energy is -1.6876 eV/atom. As for the offset from the most stable computed form: 0.107 eV/atom. The calculation puts the total moment at 1.0 μB per formula unit. Its space-group type is Fm-3m, No. 225.

Unit cell a=8.691 b=8.691 c=8.691 alpha=60.00 beta=60.00 gamma=60.00
Sites, in units of the cell vectors:
K (0.250, 0.250, 0.250)
K (0.750, 0.750, 0.750)
Rb (0.000, 0.000, 0.000)
Ce (0.500, 0.500, 0.500)
Br (0.264, 0.264, 0.736)
Br (0.264, 0.736, 0.264)
Br (0.264, 0.736, 0.736)
Br (0.736, 0.264, 0.264)
Br (0.736, 0.264, 0.736)
Br (0.736, 0.736, 0.264)



6.
This record from Alexandria describes crystalline LaSm2CrN4 at its relaxed geometry. The functional is GGA-PBE.

The value obtained for the raw formation energy is -1.1494 eV/atom. The calculation puts the total moment at 1.9 μB per formula unit. Its space-group type is Cmcm, No. 63.

Unit cell a=6.182 b=6.182 c=11.950 alpha=90.00 beta=90.00 gamma=147.21
Sites, in units of the cell vectors:
La (0.094, 0.906, 0.750)
La (0.906, 0.094, 0.250)
Sm (0.368, 0.632, 0.544)
Sm (0.368, 0.632, 0.956)
Sm (0.632, 0.368, 0.044)
Sm (0.632, 0.368, 0.456)
Cr (0.170, 0.830, 0.250)
Cr (0.830, 0.170, 0.750)
N (0.000, 0.000, 0.000)
N (0.000, 0.000, 0.500)
N (0.266, 0.734, 0.132)
N (0.266, 0.734, 0.368)
N (0.415, 0.585, 0.750)
N (0.585, 0.415, 0.250)
N (0.734, 0.266, 0.632)
N (0.734, 0.266, 0.868)